# 1
10
Lattice="4.230 0.000 0.000 0.000 4.230 0.000 0.000 0.000 10.419" Properties=species:S:1:pos:R:3 comment="PBE-GGA Dy2ZnGe3Pt4, relaxed" dos_ef_per_ev_fu=4.333 total_magnetization_mub_per_cell=0.00 formation_enthalpy_0k_ev_per_atom=-0.88 sg=P-4m2 total_energy_ev_per_atom=-5.7265 volume_a3_per_fu=186.5 mass_density_g_cm3=12.37 pbc="T T T"
Dy 0.000 2.115 2.560
Dy 2.115 0.000 7.859
Zn 2.115 2.115 0.000
Ge 0.000 0.000 0.000
Ge 0.000 2.115 6.602
Ge 2.115 0.000 3.817
Pt 0.000 0.000 5.209
Pt 0.000 2.115 9.002
Pt 2.115 0.000 1.417
Pt 2.115 2.115 5.209

---

# 2
10
Lattice="5.680 0.000 0.000 0.000 4.034 0.000 -1.153 0.000 9.533" Properties=species:S:1:pos:R:3 comment="PBE-GGA DyPu2Ge2, relaxed" dos_ef_per_ev_fu=9.412 total_magnetization_mub_per_cell=6.90 formation_enthalpy_0k_ev_per_atom=-0.43 sg=P2_1/m total_energy_ev_per_atom=-8.9262 volume_a3_per_fu=109.2 mass_density_g_cm3=12.10 pbc="T T T"
Dy 0.887 1.009 4.208
Dy 3.640 3.026 5.325
Pu -0.587 1.009 8.278
Pu 2.348 1.009 0.415
Pu 2.179 3.026 9.118
Pu 5.114 3.026 1.255
Ge 0.633 3.026 6.438
Ge 2.180 3.026 2.553
Ge 2.348 1.009 6.980
Ge 3.894 1.009 3.094